(1)
Computed, not measured: crystalline BaAc3P4 at its relaxed geometry at the PBE-GGA level of DFT.

Output
Calculated density, g/cm³: 6.13
Formation energy, eV per atom: -1.238

Unit cell a=6.343 b=6.343 c=6.343 alpha=90.00 beta=90.00 gamma=90.00
Positions (direct):
1 P 0.500 0.000 0.000
2 P 0.000 0.500 0.000
3 P 0.000 0.000 0.500
4 P 0.500 0.500 0.500
5 Ac 0.000 0.500 0.500
6 Ac 0.500 0.000 0.500
7 Ac 0.500 0.500 0.000
8 Ba 0.000 0.000 0.000

***

(2)
Computed, not measured: crystalline BaAcP2 at its relaxed geometry at the PBE-GGA level of DFT.

Output
Calculated density, g/cm³: 6.28
Formation energy, eV per atom: -0.844
Distance to the lowest polymorph of the same formula, meV per atom: 209

Unit cell a=3.645 b=5.560 c=5.560 alpha=90.00 beta=90.00 gamma=90.00
Positions (direct):
1 P 0.000 0.000 0.500
2 P 0.000 0.500 0.000
3 Ac 0.500 0.000 0.000
4 Ba 0.500 0.500 0.500

***

(3)
Computed, not measured: crystalline BaAcP2 at its relaxed geometry at the PBE-GGA level of DFT.

Output
Calculated density, g/cm³: 6.24
Formation energy, eV per atom: -0.841
Distance to the lowest polymorph of the same formula, meV per atom: 211

Unit cell a=5.433 b=5.433 c=5.433 alpha=60.00 beta=60.00 gamma=60.00
Positions (direct):
1 P 0.250 0.250 0.250
2 P 0.750 0.750 0.750
3 Ac 0.000 0.000 0.000
4 Ba 0.500 0.500 0.500

***

(4)
Computed, not measured: crystalline BaAcP4 at its relaxed geometry at the PBE-GGA level of DFT.

Output
Calculated density, g/cm³: 6.15
Formation energy, eV per atom: -0.349

Unit cell a=5.711 b=5.711 c=5.711 alpha=60.00 beta=60.00 gamma=60.00
Positions (direct):
1 P 0.628 0.628 0.117
2 P 0.628 0.117 0.628
3 P 0.628 0.628 0.628
4 P 0.117 0.628 0.628
5 Ac 0.000 0.000 0.000
6 Ba 0.250 0.250 0.250

***

(5)
Computed, not measured: crystalline Ba3Ac2PaP6 at its relaxed geometry at the PBE-GGA level of DFT.

Output
Calculated density, g/cm³: 5.64
Formation energy, eV per atom: -1.168

Unit cell a=7.679 b=7.679 c=7.826 alpha=99.44 beta=99.44 gamma=120.03
Positions (direct):
1 Ba 0.169 0.831 0.500
2 Ba 0.831 0.169 0.500
3 Ba 0.500 0.500 0.500
4 Ac 0.334 0.666 0.000
5 Ac 0.666 0.334 0.000
6 Pa 0.000 0.000 0.000
7 P 0.929 0.624 0.786
8 P 0.767 0.767 0.213
9 P 0.071 0.376 0.214
10 P 0.624 0.929 0.786
11 P 0.233 0.233 0.787
12 P 0.376 0.071 0.214

***

(6)
Computed, not measured: crystalline Ba2AcPaP4 at its relaxed geometry at the PBE-GGA level of DFT.

Output
Calculated density, g/cm³: 5.82
Formation energy, eV per atom: -1.202

Unit cell a=4.376 b=7.584 c=7.788 alpha=108.95 beta=90.00 gamma=90.00
Positions (direct):
1 Ba 0.500 0.000 0.500
2 Ba 0.000 0.500 0.500
3 Ac 0.000 0.000 0.000
4 Pa 0.500 0.500 0.000
5 P 0.500 0.267 0.211
6 P 0.500 0.733 0.789
7 P 0.000 0.288 0.797
8 P 0.000 0.712 0.203

***

(7)
Computed, not measured: crystalline BaAcP2Pd4 at its relaxed geometry at the PBE-GGA level of DFT.

Output
Calculated density, g/cm³: 7.40
Formation energy, eV per atom: -0.757

Unit cell a=4.370 b=4.370 c=10.008 alpha=90.00 beta=90.00 gamma=90.00
Positions (direct):
1 Ba 0.000 0.000 0.500
2 Ac 0.000 0.000 0.000
3 P 0.500 0.500 0.309
4 P 0.500 0.500 0.691
5 Pd 0.000 0.500 0.221
6 Pd 0.500 0.000 0.779
7 Pd 0.500 0.000 0.221
8 Pd 0.000 0.500 0.779

***

(8)
Computed, not measured: crystalline Ba2AcP3Pd12 at its relaxed geometry at the PBE-GGA level of DFT.

Output
Calculated density, g/cm³: 7.97
Formation energy, eV per atom: -0.380

Unit cell a=7.780 b=7.780 c=7.780 alpha=68.10 beta=68.10 gamma=68.10
Positions (direct):
1 Ba 0.598 0.598 0.598
2 Ba 0.402 0.402 0.402
3 Ac 0.000 0.000 0.000
4 P 0.500 0.000 0.000
5 P 0.000 0.500 0.000
6 P 0.000 0.000 0.500
7 Pd 0.296 0.296 0.891
8 Pd 0.858 0.858 0.402
9 Pd 0.402 0.858 0.858
10 Pd 0.891 0.296 0.296
11 Pd 0.858 0.402 0.858
12 Pd 0.296 0.891 0.296
13 Pd 0.704 0.704 0.109
14 Pd 0.142 0.142 0.598
15 Pd 0.598 0.142 0.142
16 Pd 0.109 0.704 0.704
17 Pd 0.142 0.598 0.142
18 Pd 0.704 0.109 0.704

***

(9)
Computed, not measured: crystalline BaAcP2Pd2 at its relaxed geometry at the PBE-GGA level of DFT.

Output
Calculated density, g/cm³: 7.40
Formation energy, eV per atom: -1.105

Unit cell a=4.307 b=4.307 c=8.928 alpha=90.00 beta=90.00 gamma=120.00
Positions (direct):
1 Ba 0.000 0.000 0.000
2 Ac 0.000 0.000 0.500
3 P 0.333 0.667 0.266
4 P 0.667 0.333 0.734
5 Pd 0.333 0.667 0.739
6 Pd 0.667 0.333 0.261

***

(10)
Computed, not measured: crystalline BaAcP2Pd5 at its relaxed geometry at the PBE-GGA level of DFT.

Output
Calculated density, g/cm³: 7.61
Formation energy, eV per atom: -0.736

Unit cell a=4.547 b=4.547 c=10.116 alpha=90.00 beta=90.00 gamma=90.00
Positions (direct):
1 Ba 0.000 0.000 0.500
2 Ac 0.000 0.000 0.000
3 P 0.500 0.500 0.270
4 P 0.500 0.500 0.730
5 Pd 0.000 0.500 0.211
6 Pd 0.500 0.000 0.211
7 Pd 0.000 0.500 0.789
8 Pd 0.500 0.000 0.789
9 Pd 0.500 0.500 0.500